Record 1
VASP calculation (GGA-PBE) on crystalline Pu2CdBi at its relaxed geometry.

Results
The calculation puts the theoretical density at 12.2 g cm⁻³. For the distance to the lowest polymorph of the same formula, the calculation gives 0.000 eV per atom. As for the calculated volume: 27.5 Å³/atom. The symmetry is P4/mmm. Its formation energy is -0.21 eV/atom.

a = 4.516 Å, b = 4.934 Å, c = 4.934 Å
α = 90.00°, β = 90.00°, γ = 90.00°
Sites, in units of the cell vectors:
Pu: 0.000 0.500 0.000
Pu: 0.000 0.000 0.500
Bi: 0.500 0.500 0.500
Cd: 0.500 0.000 0.000



Record 2
VASP calculation (GGA-PBE) on crystalline ReBiF3 at its relaxed geometry.

Results
The calculation puts the theoretical density at 7.3 g cm⁻³. For the distance to the lowest polymorph of the same formula, the calculation gives 0.103 eV per atom. As for the calculated volume: 20.6 Å³/atom. The symmetry is Pm-3m.

a = 4.686 Å, b = 4.686 Å, c = 4.686 Å
α = 90.00°, β = 90.00°, γ = 90.00°
Sites, in units of the cell vectors:
F: 0.000 0.500 0.000
F: 0.500 0.000 0.000
F: 0.000 0.000 0.500
Re: 0.500 0.500 0.500
Bi: 0.000 0.000 0.000



Record 3
VASP calculation (GGA-PBE) on crystalline Pu3Fe at its relaxed geometry.

Results
The calculation puts the theoretical density at 17.5 g cm⁻³. As for the calculated volume: 18.7 Å³/atom. The symmetry is Pmm2. Its formation energy is 0.22 eV/atom.

a = 4.557 Å, b = 2.869 Å, c = 5.725 Å
α = 90.00°, β = 90.00°, γ = 90.00°
Sites, in units of the cell vectors:
Pu: 0.500 0.000 0.768
Pu: 0.000 0.500 0.420
Pu: 0.500 0.500 0.220
Fe: 0.000 0.000 0.926



Record 4
VASP calculation (GGA-PBE) on crystalline SrCeGa4 at its relaxed geometry.

Results
The calculation puts the theoretical density at 6.5 g cm⁻³. For the distance to the lowest polymorph of the same formula, the calculation gives 0.084 eV per atom. As for the calculated volume: 21.7 Å³/atom. The symmetry is F-43m. Its formation energy is -0.42 eV/atom.

a = 5.686 Å, b = 5.686 Å, c = 5.686 Å
α = 60.00°, β = 60.00°, γ = 60.00°
Sites, in units of the cell vectors:
Ga: 0.626 0.626 0.626
Ga: 0.626 0.626 0.122
Ga: 0.122 0.626 0.626
Ga: 0.626 0.122 0.626
Ce: 0.000 0.000 0.000
Sr: 0.250 0.250 0.250



Record 5
VASP calculation (GGA-PBE) on crystalline Dy8Y2Zr at its relaxed geometry.

Results
The calculation puts the theoretical density at 7.7 g cm⁻³. As for the calculated volume: 30.6 Å³/atom. The symmetry is C2/m. Its formation energy is 0.04 eV/atom.

a = 4.953 Å, b = 7.869 Å, c = 9.287 Å
α = 104.76°, β = 105.47°, γ = 90.00°
Sites, in units of the cell vectors:
Y: 0.226 0.635 0.452
Y: 0.774 0.365 0.548
Dy: 0.678 0.910 0.357
Dy: 0.044 0.736 0.087
Dy: 0.868 0.826 0.737
Dy: 0.589 0.443 0.177
Dy: 0.411 0.557 0.823
Dy: 0.956 0.264 0.913
Dy: 0.322 0.090 0.643
Dy: 0.132 0.174 0.263
Zr: 0.500 0.000 0.000



Record 6
VASP calculation (GGA-PBE) on crystalline SmSn4Pd at its relaxed geometry.

Results
The calculation puts the theoretical density at 8.0 g cm⁻³. As for the calculated volume: 25.4 Å³/atom. The symmetry is Cmmm. Its formation energy is -0.47 eV/atom.

a = 4.492 Å, b = 4.592 Å, c = 14.927 Å
α = 90.00°, β = 98.65°, γ = 90.00°
Sites, in units of the cell vectors:
Sn: 0.000 0.000 0.000
Sn: 0.500 0.500 0.000
Sn: 0.612 0.500 0.225
Sn: 0.886 0.000 0.772
Sn: 0.716 0.000 0.431
Sn: 0.284 0.000 0.569
Sn: 0.114 0.000 0.228
Sn: 0.388 0.500 0.775
Sm: 0.195 0.500 0.390
Sm: 0.805 0.500 0.610
Pd: 0.444 0.000 0.888
Pd: 0.556 0.000 0.112



Record 7
VASP calculation (GGA-PBE) on crystalline CrRhPb3 at its relaxed geometry.

Results
The calculation puts the theoretical density at 9.5 g cm⁻³. For the distance to the lowest polymorph of the same formula, the calculation gives 0.000 eV per atom. As for the calculated volume: 27.0 Å³/atom. The symmetry is Pm-3m. Its formation energy is 0.86 eV/atom.

a = 5.133 Å, b = 5.133 Å, c = 5.133 Å
α = 90.00°, β = 90.00°, γ = 90.00°
Sites, in units of the cell vectors:
Pb: 0.000 0.500 0.000
Pb: 0.000 0.000 0.500
Pb: 0.500 0.000 0.000
Cr: 0.000 0.000 0.000
Rh: 0.500 0.500 0.500



Record 8
VASP calculation (GGA-PBE) on crystalline LiHgAs at its relaxed geometry.

Results
The calculation puts the theoretical density at 7.9 g cm⁻³. As for the calculated volume: 19.9 Å³/atom. The symmetry is Imm2. Its formation energy is -0.15 eV/atom.

a = 5.572 Å, b = 5.572 Å, c = 5.572 Å
α = 149.33°, β = 137.20°, γ = 53.57°
Sites, in units of the cell vectors:
As: 0.029 0.029 0.000
Hg: 0.326 0.326 0.000
Li: 0.646 0.646 0.000



Look up the theoretical density of the third one.
17.5 g cm⁻³



theoretical density of number 1 (Pu2CdBi)?
12.2 g cm⁻³



What is the calculated volume in the third record?
18.7 Å³/atom